# BaAgSb SCAN single point on PBEsol structure
data_BaAgSb
_cell_length_a 4.8030
_cell_length_b 4.8030
_cell_length_c 9.1752
_cell_angle_alpha 90.00
_cell_angle_beta 90.00
_cell_angle_gamma 120.00
_space_group_name_H-M_alt 'P 63/m m c'
_space_group_IT_number 194
_space_group_name_Hall '-P 6c 2c'
loop_
_atom_site_label
_atom_site_fract_x
_atom_site_fract_y
_atom_site_fract_z
_atom_site_occupancy
Ba1 0.0000 0.0000 0.0000 1
Ag1 0.3333 0.6667 0.2500 1
Sb1 0.3333 0.6667 0.7500 1
# Uncorrected energy = -36.9444 eV/atom
# Formation energy from raw total energies = -20.4 kcal/mol of atoms
# Size of the total moment = 0.0 μB per formula unit
# Volume = 183.3 Å³/cell